A plane-wave DFT calculation with PBE was carried out for a geometry-optimized Sc2CuP structure.

Values from the calculation:
Energy relative to the elements, meV per atom: -668
N(E_F), states/eV per atom: 0.7993
Space-group type: Pmm2 (25)
M_tot, μB/atom: 0.00

abc: 3.4333 4.4480 4.4473
angles: 90.00 90.00 90.00
Closest atoms and distances in Å follow each position.
Atoms (fractional coordinates):
P 0.5000 0.5000 0.1241  8 Sc 2.81, 2 Cu 3.14
Sc 0.0000 0.0000 0.1254  4 Cu 2.81, 4 P 2.81, 2 Sc 3.14
Sc 0.0000 0.5000 0.6243  4 P 2.81, 4 Cu 2.81, 2 Sc 3.14
Cu 0.5000 0.0000 0.6263  8 Sc 2.81, 2 P 3.14